The following is a GGA-PBE calculation of an optimized crystal structure of CsHfSnRh2, from Alexandria via LeMat-Bulk.

Values from the calculation:
The calculation puts the formation energy at 961 meV/atom. The uncorrected energy comes out at -4.94 eV per atom. As for the magnetic moment: 0.0 Bohr magnetons per cell.

Unit cell a=4.9024 b=4.9024 c=6.0867 alpha=90.00 beta=90.00 gamma=90.00
Space group P4/mmm (No. 123)
One atom of each set of equivalent atoms:
1 Cs 0.0000 0.0000 0.0000
2 Hf 0.0000 0.0000 0.5000
3 Sn 0.5000 0.5000 0.0000
4 Rh 0.0000 0.5000 0.5000

The following is a GGA-PBE calculation of an optimized crystal structure of KMgTl2F5, from Alexandria via LeMat-Bulk.

Values from the calculation:
The uncorrected energy comes out at -4.43 eV per atom. As for the magnetic moment: 0.0 Bohr magnetons per cell.

Unit cell a=3.9654 b=6.1879 c=13.3778 alpha=90.00 beta=90.00 gamma=90.00
Space group Immm (No. 71)
One atom of each set of equivalent atoms:
1 K 0.0000 0.0000 0.0000
2 Mg 0.0000 0.0000 0.5000
3 Tl 0.0000 0.5000 0.2091
4 F 0.0000 0.2302 0.3918
5 F 0.0000 0.5000 0.0000